Here is a relaxed TaIrBr2 crystal from the Alexandria database. Energies are from PBE-GGA.

abc: 4.743 4.743 4.743
angles: 119.98 119.98 90.03
Sites, in units of the cell vectors:
Br 0.250 0.750 0.500
Br 0.000 0.000 0.000
Ta 0.750 0.250 0.500
Ir 0.500 0.500 0.000

Calculated volume = 18.87 Å³ per atom
E_form (uncorrected) = 706 meV/atom
DFT total energy = -5.309 eV/atom
Symmetry = No. 216


Here is a relaxed BaEuZnCd crystal from the Alexandria database. Energies are from PBE-GGA.

abc: 5.709 5.709 5.709
angles: 60.00 60.00 60.00
Sites, in units of the cell vectors:
Ba 0.000 0.000 0.000
Zn 0.750 0.750 0.750
Eu 0.500 0.500 0.500
Cd 0.250 0.250 0.250

Calculated volume = 32.90 Å³ per atom
DFT total energy = -3.831 eV/atom
Symmetry = No. 216
Energy of formation from the pure elements = -0.234 eV/atom


Here is a relaxed Cd4OsAu crystal from the Alexandria database. Energies are from PBE-GGA.

abc: 5.495 5.495 5.495
angles: 60.00 60.00 60.00
Sites, in units of the cell vectors:
Cd 0.874 0.375 0.375
Cd 0.375 0.874 0.375
Cd 0.375 0.375 0.375
Cd 0.375 0.375 0.874
Os 0.750 0.750 0.750
Au 0.000 0.000 0.000

Calculated volume = 19.55 Å³ per atom
DFT total energy = -2.344 eV/atom
Symmetry = No. 216
Energy of formation from the pure elements = 0.684 eV/atom


Here is a relaxed ScTl3 crystal from the Alexandria database. Energies are from PBE-GGA.

abc: 6.003 6.003 6.003
angles: 90.00 90.00 90.00
Sites, in units of the cell vectors:
Tl 0.000 0.250 0.500
Tl 0.000 0.750 0.500
Tl 0.250 0.500 0.000
Tl 0.500 0.000 0.250
Tl 0.500 0.000 0.750
Tl 0.750 0.500 0.000
Sc 0.500 0.500 0.500
Sc 0.000 0.000 0.000

Calculated volume = 27.04 Å³ per atom
DFT total energy = -3.287 eV/atom
Symmetry = No. 223
Energy of formation from the pure elements = 0.071 eV/atom


Here is a relaxed Ho4HgPd15 crystal from the Alexandria database. Energies are from PBE-GGA.

abc: 4.090 4.090 20.642
angles: 90.00 90.00 90.00
Sites, in units of the cell vectors:
Pd 0.500 0.000 0.901
Pd 0.500 0.000 0.701
Pd 0.500 0.500 0.200
Pd 0.500 0.500 0.399
Pd 0.500 0.000 0.500
Pd 0.500 0.500 0.800
Pd 0.000 0.500 0.299
Pd 0.500 0.000 0.299
Pd 0.500 0.500 0.000
Pd 0.000 0.500 0.701
Pd 0.000 0.500 0.901
Pd 0.500 0.500 0.601
Pd 0.500 0.000 0.099
Pd 0.000 0.500 0.099
Pd 0.000 0.500 0.500
Ho 0.000 0.000 0.600
Ho 0.000 0.000 0.400
Ho 0.000 0.000 0.802
Ho 0.000 0.000 0.198
Hg 0.000 0.000 0.000

Calculated volume = 17.26 Å³ per atom
DFT total energy = -5.559 eV/atom
Symmetry = No. 123
Energy of formation from the pure elements = -0.734 eV/atom


Here is a relaxed DyHgPbBr6 crystal from the Alexandria database. Energies are from PBE-GGA.

abc: 7.522 7.522 6.797
angles: 90.01 90.01 60.00
Sites, in units of the cell vectors:
Dy 0.333 0.333 0.500
Br 0.342 0.636 0.261
Br 0.636 0.342 0.739
Br 0.023 0.342 0.261
Br 0.636 0.023 0.261
Br 0.342 0.023 0.739
Br 0.023 0.636 0.739
Pb 0.667 0.667 0.500
Hg 0.000 0.000 0.000

Calculated volume = 37.01 Å³ per atom
E_form (uncorrected) = -1133 meV/atom
DFT total energy = -3.205 eV/atom
Symmetry = No. 149


Here is a relaxed Na3Cd5Sn2 crystal from the Alexandria database. Energies are from PBE-GGA.

abc: 6.105 10.387 10.387
angles: 65.29 72.91 72.91
Sites, in units of the cell vectors:
Sn 0.611 0.074 0.703
Sn 0.111 0.703 0.074
Sn 0.889 0.297 0.926
Sn 0.389 0.926 0.297
Cd 0.150 0.419 0.282
Cd 0.750 0.500 0.500
Cd 0.650 0.282 0.419
Cd 0.950 0.800 0.800
Cd 0.350 0.718 0.581
Cd 0.050 0.200 0.200
Cd 0.250 0.500 0.500
Cd 0.850 0.581 0.718
Cd 0.450 0.800 0.800
Cd 0.550 0.200 0.200
Na 0.669 0.558 0.104
Na 0.331 0.442 0.896
Na 0.831 0.896 0.442
Na 0.169 0.104 0.558
Na 0.250 0.000 0.000
Na 0.750 0.000 0.000

Calculated volume = 28.04 Å³ per atom
DFT total energy = -1.708 eV/atom
Symmetry = No. 72
Energy of formation from the pure elements = -0.054 eV/atom


Here is a relaxed LaPN2F crystal from the Alexandria database. Energies are from PBE-GGA.

abc: 3.790 3.790 4.127
angles: 90.00 90.00 90.00
Sites, in units of the cell vectors:
N 0.500 0.000 0.000
N 0.000 0.500 0.000
P 0.000 0.000 0.000
F 0.000 0.000 0.500
La 0.500 0.500 0.500

Calculated volume = 11.86 Å³ per atom
E_form (uncorrected) = -886 meV/atom
DFT total energy = -6.658 eV/atom
Symmetry = No. 123


Repeat the eighth record exactly.
Here is a relaxed LaPN2F crystal from the Alexandria database. Energies are from PBE-GGA.

abc: 3.790 3.790 4.127
angles: 90.00 90.00 90.00
Sites, in units of the cell vectors:
N 0.500 0.000 0.000
N 0.000 0.500 0.000
P 0.000 0.000 0.000
F 0.000 0.000 0.500
La 0.500 0.500 0.500

Calculated volume = 11.86 Å³ per atom
E_form (uncorrected) = -886 meV/atom
DFT total energy = -6.658 eV/atom
Symmetry = No. 123


- DFT total energy of number 7 (Na3Cd5Sn2)?
  -1.708 eV/atom


- Among the records above, which one has the highest DFT total energy?
  Na3Cd5Sn2